# 1
Entry from Alexandria: a PBEsol-optimized structure of TlAg2P (meta-GGA SCAN).

E	-35.98	eV per atom
magnetization	0.000	μB/atom
calculated formation energy	0.3927	eV per atom
ρ	10.07	Mg/m³

a b c (Å): 6.155 8.156 2.965
angles (deg): 90.00 90.00 90.00
Space group Cmmm (No. 65)
Inequivalent atoms, fractional coordinates:
Tl 0.000 0.000 0.000 x2
Ag 0.250 0.250 0.500 x4
P 0.000 0.500 0.000 x2

# 2
Entry from Alexandria: a PBEsol-optimized structure of AgPW (meta-GGA SCAN).

E	-36.66	eV per atom
magnetization	0.000	μB/atom
calculated formation energy	0.4872	eV per atom
ρ	11.25	Mg/m³

a b c (Å): 4.0778 4.0778 3.3074
angles (deg): 90.00 90.00 120.00
Space group P-6m2 (No. 187)
Inequivalent atoms, fractional coordinates:
Ag 0.0000 0.0000 0.0000 x1
P 0.6667 0.3333 0.5000 x1
W 0.3333 0.6667 0.5000 x1